Record 1
{
  "formula": "Ta2CdPtCl",
  "functional": "PBEsol",
  "state": "optimized geometry",
  "lattice_angstrom": [[4.910, 0.000, 0.000], [0.000, 4.910, 0.000], [0.000, 0.000, 5.151]],
  "species": ["Ta", "Ta", "Cd", "Pt", "Cl"],
  "frac_coords": [[0.000, 0.500, 0.000], [0.500, 0.000, 0.000], [0.000, 0.000, 0.500], [0.000, 0.000, 0.000], [0.500, 0.500, 0.500]],
  "magmom_total_mub_per_cell": 2.15,
  "e_form_raw_ev_per_atom": 1.055,
  "dft_energy_ev_per_atom": -6.00
}


Record 2
{
  "formula": "CdPt2WCl",
  "functional": "PBEsol",
  "state": "optimized geometry",
  "lattice_angstrom": [[4.725, 0.000, 0.000], [0.000, 4.725, 0.000], [0.000, 0.000, 5.499]],
  "species": ["Cd", "Pt", "Pt", "W", "Cl"],
  "frac_coords": [[0.000, 0.000, 0.000], [0.000, 0.500, 0.500], [0.500, 0.000, 0.500], [0.000, 0.000, 0.500], [0.500, 0.500, 0.000]],
  "magmom_total_mub_per_cell": 0.00,
  "e_form_raw_ev_per_atom": 1.252,
  "dft_energy_ev_per_atom": -4.94
}


Record 3
{
  "formula": "RbCdCl2",
  "functional": "PBEsol",
  "state": "optimized geometry",
  "lattice_angstrom": [[4.298, 0.000, 0.000], [-2.149, 3.723, 0.000], [0.000, 0.000, 26.572]],
  "species": ["Rb", "Rb", "Rb", "Cd", "Cd", "Cd", "Cl", "Cl", "Cl", "Cl", "Cl", "Cl"],
  "frac_coords": [[0.000, 0.000, 0.000], [0.333, 0.667, 0.667], [0.667, 0.333, 0.333], [0.000, 0.000, 0.500], [0.333, 0.667, 0.167], [0.667, 0.333, 0.833], [0.000, 0.000, 0.117], [0.000, 0.000, 0.883], [0.333, 0.667, 0.549], [0.333, 0.667, 0.784], [0.667, 0.333, 0.216], [0.667, 0.333, 0.451]],
  "magmom_total_mub_per_cell": 0.00,
  "e_form_raw_ev_per_atom": -0.818,
  "dft_energy_ev_per_atom": -2.38
}


Record 4
{
  "formula": "RbCdCl3",
  "functional": "PBEsol",
  "state": "optimized geometry",
  "lattice_angstrom": [[8.892, 0.000, 0.000], [0.000, 4.026, 0.000], [0.000, 0.000, 14.964]],
  "species": ["Rb", "Rb", "Rb", "Rb", "Cd", "Cd", "Cd", "Cd", "Cl", "Cl", "Cl", "Cl", "Cl", "Cl", "Cl", "Cl", "Cl", "Cl", "Cl", "Cl"],
  "frac_coords": [[0.071, 0.250, 0.175], [0.429, 0.750, 0.675], [0.571, 0.250, 0.325], [0.929, 0.750, 0.825], [0.167, 0.750, 0.444], [0.333, 0.250, 0.944], [0.667, 0.750, 0.056], [0.833, 0.250, 0.556], [0.025, 0.750, 0.599], [0.169, 0.750, 0.005], [0.217, 0.250, 0.792], [0.283, 0.750, 0.292], [0.331, 0.250, 0.505], [0.475, 0.250, 0.099], [0.525, 0.750, 0.901], [0.669, 0.750, 0.495], [0.717, 0.250, 0.708], [0.783, 0.750, 0.208], [0.831, 0.250, 0.995], [0.975, 0.250, 0.401]],
  "magmom_total_mub_per_cell": 0.00,
  "e_form_raw_ev_per_atom": -1.456,
  "dft_energy_ev_per_atom": -3.11
}


Record 5
{
  "formula": "Rb4CdCl6",
  "functional": "PBEsol",
  "state": "optimized geometry",
  "lattice_angstrom": [[6.168, 3.561, 5.158], [-6.168, 3.561, 5.158], [0.000, -7.122, 5.158]],
  "species": ["Rb", "Rb", "Rb", "Rb", "Rb", "Rb", "Rb", "Rb", "Cd", "Cd", "Cl", "Cl", "Cl", "Cl", "Cl", "Cl", "Cl", "Cl", "Cl", "Cl", "Cl", "Cl"],
  "frac_coords": [[0.126, 0.750, 0.374], [0.250, 0.250, 0.250], [0.250, 0.626, 0.874], [0.374, 0.126, 0.750], [0.626, 0.874, 0.250], [0.750, 0.374, 0.126], [0.750, 0.750, 0.750], [0.874, 0.250, 0.626], [0.000, 0.000, 0.000], [0.500, 0.500, 0.500], [0.060, 0.930, 0.714], [0.070, 0.286, 0.940], [0.214, 0.430, 0.560], [0.286, 0.940, 0.070], [0.430, 0.560, 0.214], [0.440, 0.786, 0.570], [0.560, 0.214, 0.430], [0.570, 0.440, 0.786], [0.714, 0.060, 0.930], [0.786, 0.570, 0.440], [0.930, 0.714, 0.060], [0.940, 0.070, 0.286]],
  "magmom_total_mub_per_cell": 0.00,
  "e_form_raw_ev_per_atom": -1.732,
  "dft_energy_ev_per_atom": -3.31
}


Record 6
{
  "formula": "Rb2Cd2Cl",
  "functional": "PBEsol",
  "state": "optimized geometry",
  "lattice_angstrom": [[4.061, 0.000, 0.000], [0.000, 4.061, 0.000], [0.000, 0.000, 20.264]],
  "species": ["Rb", "Rb", "Rb", "Rb", "Cd", "Cd", "Cd", "Cd", "Cl", "Cl"],
  "frac_coords": [[0.000, 0.000, 0.092], [0.000, 0.000, 0.908], [0.500, 0.500, 0.408], [0.500, 0.500, 0.592], [0.000, 0.500, 0.250], [0.000, 0.500, 0.750], [0.500, 0.000, 0.250], [0.500, 0.000, 0.750], [0.000, 0.000, 0.500], [0.500, 0.500, 0.000]],
  "magmom_total_mub_per_cell": 0.00,
  "e_form_raw_ev_per_atom": -0.713,
  "dft_energy_ev_per_atom": -2.00
}


Record 7
{
  "formula": "CdRe2Cl",
  "functional": "PBEsol",
  "state": "optimized geometry",
  "lattice_angstrom": [[2.774, 0.000, 0.000], [0.000, 4.776, 0.000], [0.000, 0.000, 4.947]],
  "species": ["Cd", "Re", "Re", "Cl"],
  "frac_coords": [[0.000, 0.000, 0.000], [0.000, 0.500, 0.500], [0.500, 0.000, 0.500], [0.500, 0.500, 0.000]],
  "magmom_total_mub_per_cell": 0.00,
  "e_form_raw_ev_per_atom": 0.939,
  "dft_energy_ev_per_atom": -6.53
}


Record 8
{
  "formula": "CdRe2Cl",
  "functional": "PBEsol",
  "state": "optimized geometry",
  "lattice_angstrom": [[2.752, 0.000, 0.000], [0.000, 4.939, 0.000], [0.000, 0.000, 9.395]],
  "species": ["Cd", "Cd", "Re", "Re", "Re", "Re", "Cl", "Cl"],
  "frac_coords": [[0.000, 0.000, 0.000], [0.500, 0.500, 0.000], [0.000, 0.500, 0.265], [0.000, 0.500, 0.735], [0.500, 0.000, 0.265], [0.500, 0.000, 0.735], [0.000, 0.000, 0.500], [0.500, 0.500, 0.500]],
  "magmom_total_mub_per_cell": 0.00,
  "e_form_raw_ev_per_atom": 0.912,
  "dft_energy_ev_per_atom": -6.56
}


Record 9
{
  "formula": "CdRe2Cl",
  "functional": "PBEsol",
  "state": "optimized geometry",
  "lattice_angstrom": [[2.719, 0.000, 0.000], [0.000, 2.719, 0.000], [0.000, 0.000, 8.582]],
  "species": ["Cd", "Re", "Re", "Cl"],
  "frac_coords": [[0.000, 0.000, 0.000], [0.500, 0.500, 0.262], [0.500, 0.500, 0.738], [0.000, 0.000, 0.500]],
  "magmom_total_mub_per_cell": 0.00,
  "e_form_raw_ev_per_atom": 1.200,
  "dft_energy_ev_per_atom": -6.27
}


Record 10
{
  "formula": "Cd2ReCl",
  "functional": "PBEsol",
  "state": "optimized geometry",
  "lattice_angstrom": [[6.827, 0.000, 0.000], [0.000, 6.827, 0.000], [0.000, 0.000, 6.827]],
  "species": ["Cd", "Cd", "Cd", "Cd", "Cd", "Cd", "Cd", "Cd", "Re", "Re", "Re", "Re", "Cl", "Cl", "Cl", "Cl"],
  "frac_coords": [[0.250, 0.250, 0.250], [0.250, 0.250, 0.750], [0.250, 0.750, 0.250], [0.250, 0.750, 0.750], [0.750, 0.250, 0.250], [0.750, 0.250, 0.750], [0.750, 0.750, 0.250], [0.750, 0.750, 0.750], [0.000, 0.000, 0.000], [0.000, 0.500, 0.500], [0.500, 0.000, 0.500], [0.500, 0.500, 0.000], [0.000, 0.000, 0.500], [0.000, 0.500, 0.000], [0.500, 0.000, 0.000], [0.500, 0.500, 0.500]],
  "magmom_total_mub_per_cell": 10.91,
  "e_form_raw_ev_per_atom": 1.119,
  "dft_energy_ev_per_atom": -3.31
}


Record 11
{
  "formula": "CdRe2Cl",
  "functional": "PBEsol",
  "state": "optimized geometry",
  "lattice_angstrom": [[2.923, 0.000, 0.000], [0.000, 2.923, 0.000], [0.000, 0.000, 8.124]],
  "species": ["Cd", "Re", "Re", "Cl"],
  "frac_coords": [[0.000, 0.000, 0.000], [0.000, 0.000, 0.557], [0.500, 0.500, 0.748], [0.500, 0.500, 0.333]],
  "magmom_total_mub_per_cell": 0.00,
  "e_form_raw_ev_per_atom": 0.231,
  "dft_energy_ev_per_atom": -7.24
}


Record 12
{
  "formula": "CdRe2Cl",
  "functional": "PBEsol",
  "state": "optimized geometry",
  "lattice_angstrom": [[2.858, 0.000, 0.000], [-1.429, 2.475, 0.000], [0.000, 0.000, 29.238]],
  "species": ["Cd", "Cd", "Cd", "Re", "Re", "Re", "Re", "Re", "Re", "Cl", "Cl", "Cl"],
  "frac_coords": [[0.000, 0.000, 0.000], [0.333, 0.667, 0.667], [0.667, 0.333, 0.333], [0.000, 0.000, 0.489], [0.000, 0.000, 0.752], [0.333, 0.667, 0.155], [0.333, 0.667, 0.419], [0.667, 0.333, 0.085], [0.667, 0.333, 0.822], [0.000, 0.000, 0.221], [0.333, 0.667, 0.887], [0.667, 0.333, 0.554]],
  "magmom_total_mub_per_cell": 0.00,
  "e_form_raw_ev_per_atom": 0.204,
  "dft_energy_ev_per_atom": -7.26
}


Record 13
{
  "formula": "Cd2ReCl",
  "functional": "PBEsol",
  "state": "optimized geometry",
  "lattice_angstrom": [[4.092, 0.000, 0.000], [0.000, 4.092, 0.000], [0.000, 0.000, 8.952]],
  "species": ["Cd", "Cd", "Cd", "Cd", "Re", "Re", "Cl", "Cl"],
  "frac_coords": [[0.000, 0.000, 0.000], [0.000, 0.500, 0.250], [0.500, 0.000, 0.750], [0.500, 0.500, 0.500], [0.000, 0.500, 0.750], [0.500, 0.000, 0.250], [0.000, 0.000, 0.500], [0.500, 0.500, 0.000]],
  "magmom_total_mub_per_cell": 4.64,
  "e_form_raw_ev_per_atom": 0.941,
  "dft_energy_ev_per_atom": -3.49
}


Record 14
{
  "formula": "CdRhCl",
  "functional": "PBEsol",
  "state": "optimized geometry",
  "lattice_angstrom": [[6.168, 0.000, 0.000], [0.000, 6.168, 0.000], [0.000, 0.000, 6.168]],
  "species": ["Cd", "Cd", "Cd", "Cd", "Rh", "Rh", "Rh", "Rh", "Cl", "Cl", "Cl", "Cl"],
  "frac_coords": [[0.000, 0.000, 0.000], [0.000, 0.500, 0.500], [0.500, 0.000, 0.500], [0.500, 0.500, 0.000], [0.250, 0.250, 0.250], [0.250, 0.750, 0.750], [0.750, 0.250, 0.750], [0.750, 0.750, 0.250], [0.000, 0.000, 0.500], [0.000, 0.500, 0.000], [0.500, 0.000, 0.000], [0.500, 0.500, 0.500]],
  "magmom_total_mub_per_cell": 0.04,
  "e_form_raw_ev_per_atom": 0.335,
  "dft_energy_ev_per_atom": -3.45
}


Record 15
{
  "formula": "CdRh2Cl2",
  "functional": "PBEsol",
  "state": "optimized geometry",
  "lattice_angstrom": [[3.514, 0.000, 0.000], [0.000, 3.514, 0.000], [0.000, 0.000, 15.127]],
  "species": ["Cd", "Cd", "Rh", "Rh", "Rh", "Rh", "Cl", "Cl", "Cl", "Cl"],
  "frac_coords": [[0.000, 0.000, 0.000], [0.500, 0.500, 0.500], [0.000, 0.500, 0.250], [0.000, 0.500, 0.750], [0.500, 0.000, 0.250], [0.500, 0.000, 0.750], [0.000, 0.000, 0.389], [0.000, 0.000, 0.611], [0.500, 0.500, 0.111], [0.500, 0.500, 0.889]],
  "magmom_total_mub_per_cell": 2.41,
  "e_form_raw_ev_per_atom": 0.390,
  "dft_energy_ev_per_atom": -3.91
}


Record 16
{
  "formula": "CdRu2Cl",
  "functional": "PBEsol",
  "state": "optimized geometry",
  "lattice_angstrom": [[2.874, 0.000, 0.000], [-1.437, 2.489, 0.000], [0.000, 0.000, 26.301]],
  "species": ["Cd", "Cd", "Cd", "Ru", "Ru", "Ru", "Ru", "Ru", "Ru", "Cl", "Cl", "Cl"],
  "frac_coords": [[0.000, 0.000, 0.000], [0.333, 0.667, 0.667], [0.667, 0.333, 0.333], [0.000, 0.000, 0.495], [0.000, 0.000, 0.755], [0.333, 0.667, 0.162], [0.333, 0.667, 0.422], [0.667, 0.333, 0.088], [0.667, 0.333, 0.829], [0.000, 0.000, 0.235], [0.333, 0.667, 0.902], [0.667, 0.333, 0.568]],
  "magmom_total_mub_per_cell": 0.00,
  "e_form_raw_ev_per_atom": 0.217,
  "dft_energy_ev_per_atom": -5.67
}


Record 17
{
  "formula": "Cd4RuCl",
  "functional": "PBEsol",
  "state": "optimized geometry",
  "lattice_angstrom": [[0.000, 3.916, 3.916], [3.916, 0.000, 3.916], [3.916, 3.916, 0.000]],
  "species": ["Cd", "Cd", "Cd", "Cd", "Ru", "Cl"],
  "frac_coords": [[0.124, 0.124, 0.124], [0.124, 0.124, 0.627], [0.124, 0.627, 0.124], [0.627, 0.124, 0.124], [0.750, 0.750, 0.750], [0.500, 0.500, 0.500]],
  "magmom_total_mub_per_cell": 0.96,
  "e_form_raw_ev_per_atom": 0.532,
  "dft_energy_ev_per_atom": -2.30
}


Record 18
{
  "formula": "CdRu2Cl",
  "functional": "PBEsol",
  "state": "optimized geometry",
  "lattice_angstrom": [[3.787, 0.000, 0.000], [0.000, 3.787, 0.000], [0.000, 0.000, 4.692]],
  "species": ["Cd", "Ru", "Ru", "Cl"],
  "frac_coords": [[0.000, 0.000, 0.000], [0.000, 0.500, 0.500], [0.500, 0.000, 0.500], [0.500, 0.500, 0.000]],
  "magmom_total_mub_per_cell": 3.78,
  "e_form_raw_ev_per_atom": 1.053,
  "dft_energy_ev_per_atom": -4.83
}


Record 19
{
  "formula": "Cd5S4Cl2",
  "functional": "PBEsol",
  "state": "optimized geometry",
  "lattice_angstrom": [[-3.302, 6.267, 7.004], [3.302, -6.267, 7.004], [3.302, 6.267, -7.004]],
  "species": ["Cd", "Cd", "Cd", "Cd", "Cd", "Cd", "Cd", "Cd", "Cd", "Cd", "S", "S", "S", "S", "S", "S", "S", "S", "Cl", "Cl", "Cl", "Cl"],
  "frac_coords": [[0.049, 0.750, 0.299], [0.099, 0.694, 0.793], [0.250, 0.250, 0.000], [0.401, 0.194, 0.595], [0.451, 0.750, 0.701], [0.549, 0.250, 0.299], [0.599, 0.806, 0.405], [0.750, 0.750, 0.000], [0.901, 0.306, 0.207], [0.951, 0.250, 0.701], [0.020, 0.358, 0.053], [0.195, 0.142, 0.661], [0.305, 0.967, 0.947], [0.480, 0.533, 0.339], [0.520, 0.467, 0.661], [0.695, 0.033, 0.053], [0.805, 0.858, 0.339], [0.980, 0.642, 0.947], [0.108, 0.306, 0.413], [0.392, 0.806, 0.198], [0.608, 0.194, 0.802], [0.892, 0.694, 0.587]],
  "magmom_total_mub_per_cell": 0.00,
  "e_form_raw_ev_per_atom": -0.657,
  "dft_energy_ev_per_atom": -3.16
}


Record 20
{
  "formula": "Cd5S4Cl2",
  "functional": "PBEsol",
  "state": "optimized geometry",
  "lattice_angstrom": [[7.079, -2.107, 0.000], [7.079, 2.107, 0.000], [-1.524, 0.000, 9.513]],
  "species": ["Cd", "Cd", "Cd", "Cd", "Cd", "S", "S", "S", "S", "Cl", "Cl"],
  "frac_coords": [[0.000, 0.000, 0.000], [0.024, 0.024, 0.626], [0.350, 0.350, 0.284], [0.618, 0.618, 0.341], [0.723, 0.723, 0.936], [0.133, 0.133, 0.856], [0.480, 0.480, 0.499], [0.486, 0.486, 0.130], [0.762, 0.762, 0.200], [0.193, 0.193, 0.477], [0.861, 0.861, 0.795]],
  "magmom_total_mub_per_cell": 0.00,
  "e_form_raw_ev_per_atom": -0.689,
  "dft_energy_ev_per_atom": -3.19
}